No. 1
The following is a PBE calculation of a relaxed structure of V2N, from Alexandria.

Calculated values
DFT total energy   -9.829 eV per atom
ΔE_f (raw)   -975 meV/atom
Crystal system   trigonal
Density   6.08 g/cm³

Cell: 4.9135 4.9135 4.5431 Å, 90.00 90.00 120.00°
Last column: nearest neighbours and their distance in Å.
Sites, in units of the cell vectors:
V (0.0000, 0.3360, 0.2465)  3 N 2.00
V (0.0000, 0.6640, 0.7535)  3 N 2.00
V (0.3360, 0.0000, 0.2465)  3 N 2.00
V (0.3360, 0.3360, 0.7535)  3 N 2.00
V (0.6640, 0.0000, 0.7535)  3 N 2.00
V (0.6640, 0.6640, 0.2465)  3 N 2.00
N (0.0000, 0.0000, 0.0000)  6 V 2.00
N (0.3333, 0.6667, 0.5000)  6 V 2.00
N (0.6667, 0.3333, 0.5000)  6 V 2.00



No. 2
The following is a PBE calculation of a relaxed structure of VW2N, from Alexandria.

Calculated values
DFT total energy   -10.801 eV per atom
ΔE_f (raw)   37 meV/atom
Crystal system   tetragonal
Density   13.29 g/cm³

Cell: 5.4593 5.4593 5.4593 Å, 98.88 98.88 133.72°
Last column: nearest neighbours and their distance in Å.
Sites, in units of the cell vectors:
V (0.0000, 0.0000, 0.0000)  2 N 2.15
V (0.7500, 0.2500, 0.5000)  2 N 2.15
W (0.2408, 0.1250, 0.6158)  2 N 2.08
W (0.3750, 0.7592, 0.8842)  2 N 2.08
W (0.5092, 0.6250, 0.3842)  2 N 2.08
W (0.8750, 0.4908, 0.1158)  2 N 2.08
N (0.2500, 0.7500, 0.5000)  4 W 2.08, 2 V 2.15
N (0.5000, 0.5000, 0.0000)  4 W 2.08, 2 V 2.15



No. 3
The following is a PBE calculation of a relaxed structure of V2WN, from Alexandria.

Calculated values
DFT total energy   -9.686 eV per atom
ΔE_f (raw)   193 meV/atom
Crystal system   tetragonal
Density   8.72 g/cm³

Cell: 5.3895 5.3895 5.3895 Å, 117.78 117.78 93.89°
Last column: nearest neighbours and their distance in Å.
Sites, in units of the cell vectors:
V (0.0202, 0.6250, 0.8952)  2 N 1.85
V (0.3750, 0.2702, 0.3952)  2 N 1.85
V (0.7298, 0.1250, 0.1048)  2 N 1.85
V (0.8750, 0.9798, 0.6048)  2 N 1.85
W (0.2500, 0.7500, 0.5000)  4 V 2.59
W (0.5000, 0.5000, 0.0000)  4 V 2.59
N (0.0000, 0.0000, 0.0000)  4 V 1.85
N (0.7500, 0.2500, 0.5000)  4 V 1.85



The highest density belongs to which entry? VW2N



DFT total energy of number 2 (VW2N)? -10.801 eV per atom



Which value of density does entry 2 give? 13.29 g/cm³



Which formula does entry 2 have? VW2N